PBE-GGA PH2Ru, relaxed; space-group type = Amm2 (38); relative energy among the computed polymorphs = 0.000 eV/atom; density of states at the Fermi level = 0.59 states/eV/f.u.
1.0
2.9708 0.0000 0.0000
0.0000 2.8478 0.0000
0.0000 0.0000 10.7743
P H Ru
2 4 2
direct
0.0000 0.0000 0.0000
0.0000 0.5000 0.5000
0.0000 0.0000 0.8680
0.0000 0.5000 0.3680
0.5000 0.0000 0.2112
0.5000 0.5000 0.7112
0.5000 0.0000 0.6020
0.5000 0.5000 0.1020

PBE-GGA Gd3Se4O12F, relaxed; formation energy (no corrections) = -2014 meV per atom; space-group type = P6_3mc (186); density of states at the Fermi level = 0.00 states/eV/f.u.
1.0
10.5799 0.0000 0.0000
-5.2900 9.1625 0.0000
0.0000 0.0000 7.0090
Gd Se O F
6 8 24 2
direct
0.0750 0.5375 0.0000
0.4625 0.5375 0.0000
0.4625 0.9250 0.0000
0.5375 0.0750 0.5000
0.5375 0.4625 0.5000
0.9250 0.4625 0.5000
0.1557 0.3113 0.2325
0.1557 0.8443 0.2325
0.3113 0.1557 0.7325
0.3333 0.6667 0.5683
0.6667 0.3333 0.0683
0.6887 0.8443 0.2325
0.8443 0.1557 0.7325
0.8443 0.6887 0.7325
0.0814 0.4163 0.3029
0.0814 0.6651 0.3029
0.1634 0.5817 0.6794
0.1825 0.3650 0.9968
0.1825 0.8175 0.9968
0.3349 0.4163 0.3029
0.3349 0.9186 0.3029
0.3650 0.1825 0.4968
0.4163 0.0814 0.8029
0.4163 0.3349 0.8029
0.4183 0.5817 0.6794
0.4183 0.8366 0.6794
0.5817 0.1634 0.1794
0.5817 0.4183 0.1794
0.5837 0.6651 0.3029
0.5837 0.9186 0.3029
0.6350 0.8175 0.9968
0.6651 0.0814 0.8029
0.6651 0.5837 0.8029
0.8175 0.1825 0.4968
0.8175 0.6350 0.4968
0.8366 0.4183 0.1794
0.9186 0.3349 0.8029
0.9186 0.5837 0.8029
0.3333 0.6667 0.0462
0.6667 0.3333 0.5462

PBE-GGA NaCa2AlC, relaxed; formation energy from the elements = 134.8 kJ per mole of atoms; space-group type = P4/mmm (123); relative energy among the computed polymorphs = 1.244 eV/atom; density of states at the Fermi level = 3.89 states/eV/f.u.
1.0
5.8781 0.0000 0.0000
0.0000 5.8781 0.0000
0.0000 0.0000 5.4910
Na Ca Al C
1 2 1 1
direct
0.0000 0.0000 0.0000
0.0000 0.5000 0.5000
0.5000 0.0000 0.5000
0.0000 0.0000 0.5000
0.5000 0.5000 0.0000

PBE-GGA CdSnTe2H, relaxed; space-group type = P4/mmm (123); uncorrected energy = -2.1638 eV per atom; density of states at the Fermi level = 3.94 states/eV/f.u.
1.0
5.7863 0.0000 0.0000
0.0000 5.7863 0.0000
0.0000 0.0000 5.8292
Cd Sn Te H
1 1 2 1
direct
0.0000 0.0000 0.0000
0.0000 0.0000 0.5000
0.0000 0.5000 0.5000
0.5000 0.0000 0.5000
0.5000 0.5000 0.0000

PBE-GGA ZnBTeN2, relaxed; formation energy (no corrections) = 2033 meV per atom; space-group type = P4/mmm (123); relative energy among the computed polymorphs = 0.631 eV/atom; density of states at the Fermi level = 3.95 states/eV/f.u.
1.0
3.7230 0.0000 0.0000
0.0000 3.7230 0.0000
0.0000 0.0000 6.7763
Zn B Te N
1 1 1 2
direct
0.0000 0.0000 0.0000
0.5000 0.5000 0.5000
0.0000 0.0000 0.5000
0.0000 0.5000 0.0000
0.5000 0.0000 0.0000

PBE-GGA SrLi2Co, relaxed; formation energy from the elements = 35.9 kJ per mole of atoms; space-group type = C2/m (12); relative energy among the computed polymorphs = 0.032 eV/atom; density of states at the Fermi level = 5.58 states/eV/f.u.
1.0
11.6992 0.0000 0.0000
0.0000 3.3371 0.0000
-2.1045 0.0000 4.5507
Sr Li Co
2 4 2
direct
0.0000 0.0000 0.0000
0.5000 0.5000 0.0000
0.2020 0.0000 0.6998
0.2980 0.5000 0.3002
0.7020 0.5000 0.6998
0.7980 0.0000 0.3002
0.0000 0.5000 0.5000
0.5000 0.0000 0.5000

PBE-GGA MnFePtBr2, relaxed; formation energy (no corrections) = 846 meV per atom; space-group type = P4/mmm (123); density of states at the Fermi level = 3.09 states/eV/f.u.
1.0
5.1788 0.0000 0.0000
0.0000 5.1788 0.0000
0.0000 0.0000 4.9326
Mn Fe Pt Br
1 1 1 2
direct
0.0000 0.0000 0.0000
0.5000 0.5000 0.0000
0.5000 0.5000 0.5000
0.0000 0.5000 0.5000
0.5000 0.0000 0.5000

PBE-GGA TcNi2Se, relaxed; formation energy (no corrections) = 258 meV per atom; space-group type = C2/m (12); density of states at the Fermi level = 4.44 states/eV/f.u.
1.0
8.8526 0.0000 0.0000
0.0000 2.9344 0.0000
-0.1429 0.0000 4.2023
Tc Ni Se
2 4 2
direct
0.0000 0.0000 0.0000
0.5000 0.5000 0.0000
0.2289 0.5000 0.2350
0.2711 0.0000 0.7650
0.7289 0.0000 0.2350
0.7711 0.5000 0.7650
0.0000 0.5000 0.5000
0.5000 0.0000 0.5000

PBE-GGA Ba2Zr2Cd, relaxed; formation energy from the elements = 86.8 kJ per mole of atoms; space-group type = I4/mmm (139); relative energy among the computed polymorphs = 0.277 eV/atom; density of states at the Fermi level = 6.31 states/eV/f.u.
1.0
4.6088 0.0000 0.0000
0.0000 4.6088 0.0000
0.0000 0.0000 16.3376
Ba Zr Cd
4 4 2
direct
0.0000 0.5000 0.2500
0.0000 0.5000 0.7500
0.5000 0.0000 0.2500
0.5000 0.0000 0.7500
0.0000 0.0000 0.0735
0.0000 0.0000 0.9265
0.5000 0.5000 0.4265
0.5000 0.5000 0.5735
0.0000 0.0000 0.5000
0.5000 0.5000 0.0000

PBE-GGA ReSiTcRu, relaxed; formation energy (no corrections) = -202 meV per atom; space-group type = Imm2 (44); density of states at the Fermi level = 2.88 states/eV/f.u.
1.0
2.8920 0.0000 0.0000
0.0000 4.3957 0.0000
0.0000 0.0000 8.6578
Re Si Tc Ru
2 2 2 2
direct
0.0000 0.0000 0.0000
0.5000 0.5000 0.5000
0.0000 0.0000 0.5043
0.5000 0.5000 0.0043
0.0000 0.5000 0.7775
0.5000 0.0000 0.2775
0.0000 0.5000 0.2256
0.5000 0.0000 0.7256

PBE-GGA NaScHgBr6, relaxed; formation energy (no corrections) = -1219 meV per atom; space-group type = P-31c (163); density of states at the Fermi level = 0.00 states/eV/f.u.
1.0
7.0668 0.0000 0.0000
-3.5334 6.1200 0.0000
0.0000 0.0000 13.3059
Na Sc Hg Br
2 2 2 12
direct
0.0000 0.0000 0.0000
0.0000 0.0000 0.5000
0.3333 0.6667 0.2500
0.6667 0.3333 0.7500
0.3333 0.6667 0.7500
0.6667 0.3333 0.2500
0.0199 0.3679 0.1318
0.0199 0.6520 0.3682
0.3480 0.3679 0.3682
0.3480 0.9801 0.1318
0.3679 0.0199 0.6318
0.3679 0.3480 0.8682
0.6321 0.6520 0.1318
0.6321 0.9801 0.3682
0.6520 0.0199 0.8682
0.6520 0.6321 0.6318
0.9801 0.3480 0.6318
0.9801 0.6321 0.8682

PBE-GGA In2Re, relaxed; formation energy from the elements = 60.4 kJ per mole of atoms; space-group type = Immm (71); density of states at the Fermi level = 1.97 states/eV/f.u.
1.0
2.9528 0.0000 0.0000
0.0000 4.2376 0.0000
0.0000 0.0000 9.2171
In Re
4 2
direct
0.0000 0.0000 0.1584
0.0000 0.0000 0.8416
0.5000 0.5000 0.3416
0.5000 0.5000 0.6584
0.0000 0.0000 0.5000
0.5000 0.5000 0.0000